A plane-wave DFT calculation with GGA-PBE was carried out for a relaxed RbTiBeTe3 crystal.

Properties
Total magnetic moment: 1.00 μB per formula unit
ΔE_f (raw): -0.684 eV/atom

Cell: 9.9980 4.0325 10.2285 Å, 90.00 114.90 90.00°
Space group P2_1/m (No. 11)
Unique sites:
Rb (0.1945, 0.2500, 0.2355) (multiplicity 2)
Ti (0.3596, 0.7500, 0.8755) (multiplicity 2)
Be (0.0772, 0.2500, 0.5934) (multiplicity 2)
Te (0.1456, 0.2500, 0.8521) (multiplicity 2)
Te (0.1986, 0.7500, 0.5459) (multiplicity 2)
Te (0.4699, 0.7500, 0.1712) (multiplicity 2)